[1]
VASP calculation (PBE-GGA) on GePtSO after structural relaxation.

Unit cell a=5.1417 b=7.6557 c=8.5527 alpha=90.00 beta=90.00 gamma=90.00
Space group P2_12_12_1 (No. 19)
Asymmetric unit:
Ge 0.1328 0.1998 0.1088 (multiplicity 4)
Pt 0.2398 0.7256 0.0169 (multiplicity 4)
S 0.0121 0.3905 0.3220 (multiplicity 4)
O 0.0266 0.7670 0.5694 (multiplicity 4)

* magnetic moment: 0.00 μB/cell
* V: 21.04 A^3/atom
* ΔE to the lowest computed polymorph: 199.9 meV per atom

[2]
VASP calculation (PBE-GGA) on GePtSO after structural relaxation.

Unit cell a=5.4718 b=6.6983 c=14.1099 alpha=90.00 beta=90.00 gamma=90.00
Space group Pbca (No. 61)
Asymmetric unit:
Ge 0.1689 0.2471 0.1223 (multiplicity 8)
Pt 0.0000 0.0028 0.7500 (multiplicity 8)
S 0.2490 0.0021 0.5033 (multiplicity 8)
O 0.0071 0.7473 0.1665 (multiplicity 8)

* magnetic moment: 0.00 μB/cell
* V: 16.16 A^3/atom
* ΔE to the lowest computed polymorph: 338.3 meV per atom

[3]
VASP calculation (PBE-GGA) on GePtSO after structural relaxation.

Unit cell a=4.0432 b=4.0432 c=8.4343 alpha=90.00 beta=90.00 gamma=90.00
Space group P4/nmm (No. 129, origin choice 2)
Asymmetric unit:
Ge 0.2500 0.2500 0.1551 (multiplicity 2)
Pt 0.2500 0.2500 0.5641 (multiplicity 2)
S 0.2500 0.2500 0.8689 (multiplicity 2)
O 0.2500 0.7500 0.5000 (multiplicity 2)

* magnetic moment: 0.00 μB/cell
* V: 17.24 A^3/atom
* ΔE to the lowest computed polymorph: 750.9 meV per atom

[4]
VASP calculation (PBE-GGA) on GePtSeO after structural relaxation.

Unit cell a=5.7467 b=9.7402 c=4.9368 alpha=90.00 beta=90.00 gamma=90.00
Space group Pca2_1 (No. 29)
Asymmetric unit:
Ge 0.0805 0.1098 0.0000 (multiplicity 4)
Pt 0.0958 0.3537 0.0332 (multiplicity 4)
Se 0.0561 0.6166 0.0356 (multiplicity 4)
O 0.1341 0.0212 0.6560 (multiplicity 4)

* magnetic moment: 0.00 μB/cell
* V: 17.27 A^3/atom
* ΔE to the lowest computed polymorph: 0.0 meV per atom

[5]
VASP calculation (PBE-GGA) on GePtSeO after structural relaxation.

Unit cell a=6.4379 b=8.3348 c=5.4341 alpha=90.00 beta=90.00 gamma=90.00
Space group Pca2_1 (No. 29)
Asymmetric unit:
Ge 0.0689 0.2146 0.0000 (multiplicity 4)
Pt 0.2345 0.6497 0.0053 (multiplicity 4)
Se 0.0354 0.1511 0.5089 (multiplicity 4)
O 0.0536 0.4328 0.0011 (multiplicity 4)

* magnetic moment: 0.00 μB/cell
* V: 18.22 A^3/atom
* ΔE to the lowest computed polymorph: 410.8 meV per atom

[6]
VASP calculation (PBE-GGA) on GePtSeO after structural relaxation.

Unit cell a=3.7531 b=3.7531 c=11.2585 alpha=90.00 beta=90.00 gamma=90.00
Space group P4/nmm (No. 129, origin choice 2)
Asymmetric unit:
Ge 0.2500 0.2500 0.0939 (multiplicity 2)
Pt 0.2500 0.7500 0.5000 (multiplicity 2)
Se 0.2500 0.2500 0.6564 (multiplicity 2)
O 0.2500 0.2500 0.9342 (multiplicity 2)

* magnetic moment: 0.00 μB/cell
* V: 19.82 A^3/atom
* ΔE to the lowest computed polymorph: 381.1 meV per atom

[7]
VASP calculation (PBE-GGA) on GePtSeO after structural relaxation.

Unit cell a=4.5140 b=4.5140 c=7.6829 alpha=90.00 beta=90.00 gamma=90.00
Space group P4/nmm (No. 129, origin choice 2)
Asymmetric unit:
Ge 0.2500 0.2500 0.1602 (multiplicity 2)
Pt 0.2500 0.2500 0.6514 (multiplicity 2)
Se 0.2500 0.7500 0.5000 (multiplicity 2)
O 0.2500 0.2500 0.9398 (multiplicity 2)

* magnetic moment: 0.00 μB/cell
* V: 19.57 A^3/atom
* ΔE to the lowest computed polymorph: 471.5 meV per atom

[8]
VASP calculation (PBE-GGA) on GePtSeO after structural relaxation.

Unit cell a=5.0191 b=8.1541 c=8.8633 alpha=90.00 beta=90.00 gamma=90.00
Space group P2_12_12_1 (No. 19)
Asymmetric unit:
Ge 0.1575 0.2050 0.1075 (multiplicity 4)
Pt 0.2337 0.7221 0.0221 (multiplicity 4)
Se 0.0210 0.4049 0.3175 (multiplicity 4)
O 0.0079 0.2681 0.9304 (multiplicity 4)

* magnetic moment: 0.00 μB/cell
* V: 22.67 A^3/atom
* ΔE to the lowest computed polymorph: 215.7 meV per atom